one.
The following is a PBE calculation of a relaxed Ho8Al2Cd crystal, from the Alexandria database.

a b c (Å): 8.7115 8.7115 8.7115
angles (deg): 146.68 122.47 68.13
Positions (direct):
1 Ho 0.1266 0.3403 0.7863
2 Ho 0.1443 0.1443 0.0000
3 Ho 0.3145 0.0000 0.3145
4 Ho 0.4461 0.6597 0.7863
5 Ho 0.5539 0.3403 0.2137
6 Ho 0.6855 0.0000 0.6855
7 Ho 0.8557 0.8557 0.0000
8 Ho 0.8734 0.6597 0.2137
9 Al 0.3048 0.8048 0.5000
10 Al 0.6952 0.1952 0.5000
11 Cd 0.0000 0.5000 0.5000

Summary:
Magnetization   0.000 μB/f.u.

two.
The following is a PBE calculation of a relaxed Ho8Al2Cd crystal, from the Alexandria database.

a b c (Å): 9.2078 9.2078 7.1228
angles (deg): 104.59 104.59 31.78
Positions (direct):
1 Ho 0.0259 0.0259 0.2549
2 Ho 0.1949 0.1949 0.7882
3 Ho 0.3339 0.3339 0.5512
4 Ho 0.4044 0.4044 0.0328
5 Ho 0.5956 0.5956 0.9672
6 Ho 0.6661 0.6661 0.4488
7 Ho 0.8051 0.8051 0.2118
8 Ho 0.9741 0.9741 0.7451
9 Al 0.1934 0.1934 0.2116
10 Al 0.8066 0.8066 0.7884
11 Cd 0.5000 0.5000 0.5000

Summary:
Magnetization   0.000 μB/f.u.

Verdict on stability: one comes out at the bottom.

one.
The following is a PBE calculation of a relaxed Ho3AlCd2 crystal, from the Alexandria database.

a b c (Å): 5.2070 5.2070 6.3966
angles (deg): 90.00 90.00 120.00
Positions (direct):
1 Ho 0.0000 0.0000 0.0000
2 Ho 0.3333 0.6667 0.6584
3 Ho 0.6667 0.3333 0.3416
4 Al 0.0000 0.0000 0.5000
5 Cd 0.3333 0.6667 0.1592
6 Cd 0.6667 0.3333 0.8408

Summary:
Magnetization   0.000 μB/f.u.

two.
The following is a PBE calculation of a relaxed Ho3AlCd2 crystal, from the Alexandria database.

a b c (Å): 3.6530 3.6530 11.2159
angles (deg): 90.00 90.00 90.00
Positions (direct):
1 Ho 0.0000 0.0000 0.0000
2 Ho 0.0000 0.0000 0.3430
3 Ho 0.0000 0.0000 0.6570
4 Al 0.5000 0.5000 0.5000
5 Cd 0.5000 0.5000 0.1702
6 Cd 0.5000 0.5000 0.8298

Summary:
Magnetization   0.000 μB/f.u.

Verdict on stability: one comes out at the bottom.

one.
The following is a PBE calculation of a relaxed Ho3AlCd crystal, from the Alexandria database.

a b c (Å): 4.7148 6.7233 8.9998
angles (deg): 90.00 90.00 90.00
Positions (direct):
1 Ho 0.2500 0.0076 0.2219
2 Ho 0.2500 0.2500 0.5662
3 Ho 0.2500 0.4924 0.2219
4 Ho 0.7500 0.5076 0.7781
5 Ho 0.7500 0.7500 0.4338
6 Ho 0.7500 0.9924 0.7781
7 Al 0.2500 0.7500 0.6306
8 Al 0.7500 0.2500 0.3694
9 Cd 0.2500 0.2500 0.9204
10 Cd 0.7500 0.7500 0.0796

Summary:
Magnetization   0.000 μB/f.u.

two.
The following is a PBE calculation of a relaxed Ho3AlCd crystal, from the Alexandria database.

a b c (Å): 10.4571 10.4571 5.0861
angles (deg): 90.00 90.00 151.85
Positions (direct):
1 Ho 0.0622 0.9378 0.7500
2 Ho 0.2498 0.7502 0.7500
3 Ho 0.4368 0.5632 0.7500
4 Ho 0.5632 0.4368 0.2500
5 Ho 0.7502 0.2498 0.2500
6 Ho 0.9378 0.0622 0.2500
7 Al 0.1574 0.8426 0.2500
8 Al 0.8426 0.1574 0.7500
9 Cd 0.3430 0.6570 0.2500
10 Cd 0.6570 0.3430 0.7500

Summary:
Magnetization   0.000 μB/f.u.

Verdict on stability: one comes out at the bottom.

one.
The following is a PBE calculation of a relaxed Ho4AlCd3 crystal, from the Alexandria database.

a b c (Å): 3.6737 3.6737 14.9327
angles (deg): 90.00 90.00 90.00
Positions (direct):
1 Ho 0.0000 0.0000 0.1173
2 Ho 0.0000 0.0000 0.3721
3 Ho 0.0000 0.0000 0.6279
4 Ho 0.0000 0.0000 0.8827
5 Al 0.5000 0.5000 0.0000
6 Cd 0.5000 0.5000 0.2450
7 Cd 0.5000 0.5000 0.5000
8 Cd 0.5000 0.5000 0.7550

Summary:
Magnetization   0.000 μB/f.u.

two.
The following is a PBE calculation of a relaxed Ho4AlCd3 crystal, from the Alexandria database.

a b c (Å): 3.6048 4.8007 11.9086
angles (deg): 90.00 90.00 90.00
Positions (direct):
1 Ho 0.0000 0.0000 0.0000
2 Ho 0.0000 0.5000 0.3138
3 Ho 0.5000 0.0000 0.4910
4 Ho 0.5000 0.5000 0.8185
5 Al 0.5000 0.0000 0.2292
6 Cd 0.0000 0.0000 0.7293
7 Cd 0.0000 0.5000 0.5824
8 Cd 0.5000 0.5000 0.0872

Summary:
Magnetization   0.000 μB/f.u.

Verdict on stability: two comes out at the bottom.